Computed, not measured: an optimized crystal structure of NdZn2CuAu4 at the PBE level of DFT.

symmetry: R-3m, No. 166
formation energy: -0.37 eV/atom
N(E_F): 3.9 states/eV/cell

a b c (Å): 9.2343 9.2343 9.2343
angles (deg): 27.83 27.83 27.83
Atoms (fractional coordinates):
Nd 0.0000 0.0000 0.0000
Zn 0.2386 0.2386 0.2386
Zn 0.7614 0.7614 0.7614
Cu 0.5000 0.5000 0.5000
Au 0.1326 0.1326 0.1326
Au 0.3995 0.3995 0.3995
Au 0.6005 0.6005 0.6005
Au 0.8674 0.8674 0.8674

=====

Computed, not measured: an optimized crystal structure of NpGaNiRh at the PBE level of DFT.

symmetry: F-43m, No. 216
formation energy: -0.25 eV/atom
N(E_F): 6.7 states/eV/cell

a b c (Å): 4.5497 4.5497 4.5497
angles (deg): 60.00 60.00 60.00
Atoms (fractional coordinates):
Np 0.0000 0.0000 0.0000
Ga 0.5000 0.5000 0.5000
Ni 0.7500 0.7500 0.7500
Rh 0.2500 0.2500 0.2500

=====

Computed, not measured: an optimized crystal structure of Li2CeInAu4 at the PBE level of DFT.

symmetry: R-3m, No. 166
formation energy: -0.51 eV/atom
N(E_F): 8.7 states/eV/cell

a b c (Å): 9.3758 9.3758 9.3758
angles (deg): 28.20 28.20 28.20
Atoms (fractional coordinates):
Li 0.2359 0.2359 0.2359
Li 0.7641 0.7641 0.7641
Ce 0.0000 0.0000 0.0000
In 0.5000 0.5000 0.5000
Au 0.1190 0.1190 0.1190
Au 0.3937 0.3937 0.3937
Au 0.6063 0.6063 0.6063
Au 0.8810 0.8810 0.8810

=====

Uncorrected energy across the listed records, respectively: -27.5 -30.1 -29.7 eV/f.u..